<P>
{"formula": "Ta2BeB", "functional": "GGA-PBE", "state": "optimized geometry", "crystal_system": "monoclinic", "lattice": [[-0.140, 3.278, 3.451], [0.866, -2.255, 2.178], [6.106, -0.290, -2.728]], "species": ["B", "B", "Be", "Be", "Ta", "Ta", "Ta", "Ta"], "fractional_positions": [[0.371, 0.750, 0.217], [0.629, 0.250, 0.783], [0.627, 0.250, 0.280], [0.373, 0.750, 0.720], [0.795, 0.750, 0.068], [0.212, 0.250, 0.422], [0.788, 0.750, 0.578], [0.205, 0.250, 0.932]]}

<Q>
{"formula": "Ta2BeB", "functional": "GGA-PBE", "state": "optimized geometry", "crystal_system": "cubic", "lattice": [[0.000, 3.002, 3.002], [3.002, 0.000, 3.002], [3.002, 3.002, 0.000]], "species": ["B", "Be", "Ta", "Ta"], "fractional_positions": [[0.500, 0.500, 0.500], [0.250, 0.250, 0.250], [0.000, 0.000, 0.000], [0.750, 0.750, 0.750]]}

The relative energies come out as <P> 0; <Q> 1491, with values in meV/atom.

<P>
{"formula": "TbBeB4", "functional": "GGA-PBE", "state": "optimized geometry", "crystal_system": "hexagonal", "lattice": [[-0.565, -1.415, 2.709], [-1.813, -0.572, -2.459], [4.038, -5.061, -1.800]], "species": ["B", "B", "B", "B", "Be", "Tb"], "fractional_positions": [[0.667, 0.333, 0.202], [0.333, 0.667, 0.202], [0.667, 0.333, 0.798], [0.333, 0.667, 0.798], [0.000, 0.000, 0.000], [0.000, 0.000, 0.500]]}

<Q>
{"formula": "TbBeB4", "functional": "GGA-PBE", "state": "optimized geometry", "crystal_system": "orthorhombic", "lattice": [[-1.582, 2.600, 3.802], [1.582, -2.600, 3.802], [1.582, 2.600, -3.802]], "species": ["B", "B", "B", "B", "Be", "Tb"], "fractional_positions": [[0.584, 0.259, 0.325], [0.067, 0.741, 0.325], [0.933, 0.259, 0.675], [0.416, 0.741, 0.675], [0.500, 0.500, 0.000], [0.000, 0.000, 0.000]]}

The relative energies come out as <P> 0; <Q> 100, with values in meV/atom.

<P>
{"formula": "BeBW2", "functional": "GGA-PBE", "state": "optimized geometry", "crystal_system": "orthorhombic", "lattice": [[3.180, 0.000, 0.000], [0.000, 1.598, 4.309], [0.000, -1.598, 4.309]], "species": ["B", "Be", "W", "W"], "fractional_positions": [[0.000, 0.690, 0.690], [0.500, 0.561, 0.561], [0.500, 0.272, 0.272], [0.000, 0.976, 0.976]]}

<Q>
{"formula": "BeBW2", "functional": "GGA-PBE", "state": "optimized geometry", "crystal_system": "cubic", "lattice": [[-1.577, 0.235, 3.817], [-4.094, -0.192, 0.562], [-1.693, -3.345, 1.748]], "species": ["B", "Be", "W", "W"], "fractional_positions": [[0.500, 0.500, 0.500], [0.250, 0.250, 0.250], [0.000, 0.000, 0.000], [0.750, 0.750, 0.750]]}

The relative energies come out as <P> 0; <Q> 1129, with values in meV/atom.

<P>
{"formula": "CdBiB4", "functional": "GGA-PBE", "state": "optimized geometry", "crystal_system": "hexagonal", "lattice": [[3.150, 0.000, 0.000], [-1.575, 2.728, 0.000], [0.000, 0.000, 8.732]], "species": ["B", "B", "B", "B", "Bi", "Cd"], "fractional_positions": [[0.667, 0.333, 0.274], [0.333, 0.667, 0.274], [0.667, 0.333, 0.726], [0.333, 0.667, 0.726], [0.000, 0.000, 0.000], [0.000, 0.000, 0.500]]}

<Q>
{"formula": "CdBiB4", "functional": "GGA-PBE", "state": "optimized geometry", "crystal_system": "orthorhombic", "lattice": [[-0.172, -3.622, 4.031], [1.008, 2.524, 4.692], [-3.377, -0.511, -4.211]], "species": ["B", "B", "B", "B", "Bi", "Cd"], "fractional_positions": [[0.578, 0.246, 0.332], [0.086, 0.754, 0.332], [0.914, 0.246, 0.668], [0.422, 0.754, 0.668], [0.000, 0.000, 0.000], [0.500, 0.500, 0.000]]}

The relative energies come out as <P> 0; <Q> 18, with values in meV/atom.